(1)
Sm4SCl5: optimized geometry, PBE.

Geometry as CIF:
```
data_Sm4SCl5
_space_group_name_H-M_alt 'C 1 2/m 1'
_space_group_IT_number 12
_space_group_name_Hall '-C 2y'
_cell_length_a 17.627
_cell_length_b 3.917
_cell_length_c 8.143
_cell_angle_alpha 90.00
_cell_angle_beta 104.45
_cell_angle_gamma 90.00
loop_
_atom_site_label
_atom_site_fract_x
_atom_site_fract_y
_atom_site_fract_z
Sm1 0.002 0.000 0.275
Sm2 0.154 0.500 0.584
S1 0.000 0.500 0.500
Cl1 0.000 0.500 0.000
Cl2 0.163 0.000 0.836
Cl3 0.173 0.000 0.337
```

Values from the calculation:
- DFT total energy: -51.4 eV/f.u.
- Formation energy from raw total energies: -1917 meV per atom
- V: 27.2 A^3/atom

---

(2)
Sm3S3Cl: optimized geometry, PBE.

Geometry as CIF:
```
data_Sm3S3Cl
_space_group_name_H-M_alt 'P 4/m m m'
_space_group_IT_number 123
_space_group_name_Hall '-P 4 2'
_cell_length_a 3.990
_cell_length_b 3.990
_cell_length_c 11.168
_cell_angle_alpha 90.00
_cell_angle_beta 90.00
_cell_angle_gamma 90.00
loop_
_atom_site_label
_atom_site_fract_x
_atom_site_fract_y
_atom_site_fract_z
Sm1 0.000 0.000 0.000
Sm2 0.500 0.500 0.257
S1 0.000 0.000 0.256
S2 0.500 0.500 0.000
Cl1 0.500 0.500 0.500
```

Values from the calculation:
- DFT total energy: -42.9 eV/f.u.
- Formation energy from raw total energies: -2071 meV per atom
- V: 25.4 A^3/atom

---

(3)
Sm3SCl7: optimized geometry, PBE.

Geometry as CIF:
```
data_Sm3SCl7
_space_group_name_H-M_alt 'P 3 m 1'
_space_group_IT_number 156
_space_group_name_Hall 'P 3 -2"'
_cell_length_a 8.2764
_cell_length_b 8.2764
_cell_length_c 6.7055
_cell_angle_alpha 90.00
_cell_angle_beta 90.00
_cell_angle_gamma 120.00
loop_
_atom_site_label
_atom_site_fract_x
_atom_site_fract_y
_atom_site_fract_z
Sm1 0.0120 0.5060 0.0000
S1 0.3333 0.6667 0.2101
Cl1 0.1767 0.3534 0.7754
Cl2 0.3571 0.1785 0.2046
Cl3 0.6667 0.3333 0.7726
```

Values from the calculation:
- DFT total energy: -55.4 eV/f.u.
- Formation energy from raw total energies: -2202 meV per atom
- V: 36.2 A^3/atom